Below is crystalline HfCrAs at its relaxed geometry, with properties calculated at the PBE-GGA level.

Calculated values
D(E_F) ... 3.6 states/eV per cell
Energy relative to the elements ... -0.32 eV/atom

Lattice parameters (Å, degrees): 3.348 3.936 7.643 90.00 92.15 90.00
Space group Pm (No. 6)
Asymmetric unit:
1 Hf 0.000 0.000 0.000 [1 per cell]
2 Hf 0.435 0.000 0.624 [1 per cell]
3 Cr 0.464 0.500 0.230 [1 per cell]
4 Cr 0.796 0.000 0.309 [1 per cell]
5 As 0.487 0.500 0.889 [1 per cell]
6 As 0.946 0.500 0.494 [1 per cell]

---

Below is crystalline Hf2CrAs2 at its relaxed geometry, with properties calculated at the PBE-GGA level.

Calculated values
D(E_F) ... 6.3 states/eV per cell
Energy relative to the elements ... -0.54 eV/atom

Lattice parameters (Å, degrees): 6.993 6.993 3.642 90.00 90.00 90.00
Space group P4/mbm (No. 127)
Asymmetric unit:
1 Hf 0.158 0.342 0.000 [4 per cell]
2 Cr 0.000 0.000 0.500 [2 per cell]
3 As 0.147 0.647 0.500 [4 per cell]

---

Below is crystalline HfCrAs at its relaxed geometry, with properties calculated at the PBE-GGA level.

Calculated values
D(E_F) ... 7.7 states/eV per cell
Energy relative to the elements ... -0.36 eV/atom

Lattice parameters (Å, degrees): 9.374 3.555 6.086 90.00 100.95 90.00
Space group Cm (No. 8)
Asymmetric unit:
1 Hf 0.000 0.000 0.000 [2 per cell]
2 Hf 0.234 0.500 0.345 [2 per cell]
3 Cr 0.067 0.000 0.570 [2 per cell]
4 Cr 0.363 0.000 0.676 [2 per cell]
5 As 0.197 0.500 0.844 [2 per cell]
6 As 0.444 0.000 0.310 [2 per cell]

---

Below is crystalline HfCrAs3 at its relaxed geometry, with properties calculated at the PBE-GGA level.

Calculated values
Energy above the most stable polymorph in this dataset ... 0.051 eV/atom
D(E_F) ... 3.8 states/eV per cell
Energy relative to the elements ... 0.49 eV/atom

Lattice parameters (Å, degrees): 5.115 5.115 5.115 90.00 90.00 90.00
Space group Pm-3m (No. 221)
Asymmetric unit:
1 Hf 0.000 0.000 0.000 [1 per cell]
2 Cr 0.500 0.500 0.500 [1 per cell]
3 As 0.000 0.000 0.500 [3 per cell]